# 1
Entry from Alexandria: a geometry-optimized NpZnGa3Au structure (GGA-PBE).

The structure belongs to space group Cmcm (No. 63); the cell edges are 5.487, 15.445 and 5.709 Å and the angles 90.00°, 90.00° and 90.00°. The asymmetric unit holds Np at (0.000, 0.168, 0.250), Zn at (0.000, 0.369, 0.250), Ga at (0.000, 0.391, 0.750), Ga at (0.230, 0.000, 0.000) and Au at (0.000, 0.218, 0.750).

The calculation puts the magnetization at 0.714 μB/atom. For the calculated formation energy, the calculation gives 0.062 eV/atom.

---

# 2
Entry from Alexandria: a geometry-optimized NpZn2GaAu2 structure (GGA-PBE).

The structure belongs to space group P-3m1 (No. 164); the cell edges are 4.6369, 4.6369 and 6.2078 Å and the angles 90.00°, 90.00° and 120.00°. The asymmetric unit holds Np at (0.0000, 0.0000, 0.0000), Zn at (0.3333, 0.6667, 0.7200), Ga at (0.0000, 0.0000, 0.5000) and Au at (0.3333, 0.6667, 0.2528).

The calculation puts the magnetization at 0.711 μB/atom. For the calculated formation energy, the calculation gives -0.140 eV/atom.

---

# 3
Entry from Alexandria: a geometry-optimized NpZnGa2Au5 structure (GGA-PBE).

The structure belongs to space group P4/mmm (No. 123); the cell edges are 4.918, 4.918 and 7.695 Å and the angles 90.00°, 90.00° and 90.00°. The asymmetric unit holds Np at (0.000, 0.000, 0.000), Zn at (0.000, 0.000, 0.500), Ga at (0.500, 0.500, 0.343), Au at (0.000, 0.500, 0.243) and Au at (0.500, 0.500, 0.000).

The calculation puts the magnetization at 0.482 μB/atom. For the calculated formation energy, the calculation gives -0.034 eV/atom.